# 1
! PBE-GGA CrB3S, optimized geometry; values from VASP
&SYSTEM
  ibrav = 0, nat = 5, ntyp = 3
/
ATOMIC_SPECIES
Cr 52.00 Cr.upf
B 10.81 B.upf
S 32.06 S.upf
CELL_PARAMETERS angstrom
-2.558 2.703 0.304
-2.249 -2.336 1.851
1.530 1.085 3.229
ATOMIC_POSITIONS crystal
Cr 0.500 0.500 0.500
B 0.000 0.000 0.500
B 0.000 0.500 0.000
B 0.500 0.000 0.000
S 0.000 0.000 0.000
! space-group type: Pm-3m (221)
! spin magnetization: 0.0 μB per formula unit
! formation energy from raw total energies: 1889 meV/atom

=====

# 2
! PBE-GGA AcHgH6Pt3, optimized geometry; values from VASP
&SYSTEM
  ibrav = 0, nat = 11, ntyp = 4
/
ATOMIC_SPECIES
Ac 227.00 Ac.upf
H 1.01 H.upf
Hg 200.59 Hg.upf
Pt 195.08 Pt.upf
CELL_PARAMETERS angstrom
5.239 0.129 -0.130
0.161 5.238 0.130
-0.161 0.162 5.237
ATOMIC_POSITIONS crystal
Ac 0.594 0.406 0.594
H 0.121 0.285 0.485
H 0.715 0.515 0.121
H 0.341 0.501 0.078
H 0.499 0.922 0.341
H 0.485 0.879 0.715
H 0.078 0.659 0.499
Hg 0.986 0.014 0.986
Pt 0.504 0.790 0.038
Pt 0.038 0.496 0.210
Pt 0.210 0.962 0.504
! space-group type: R3 (146)
! calculated total energy: -45.4 eV for the cell shown
! spin magnetization: 0.0 μB per formula unit